Entry 1:
# Rb3SnAs3

A relaxed structure of Rb3SnAs3 (PBE-GGA, the Alexandria database).

a b c (Å): 8.062 8.062 8.975
angles (deg): 93.65 93.65 101.31
Fractional positions:
Rb (0.178, 0.822, 0.000)
Rb (0.270, 0.730, 0.500)
Rb (0.367, 0.367, 0.148)
Rb (0.633, 0.633, 0.852)
Rb (0.730, 0.270, 0.500)
Rb (0.822, 0.178, 0.000)
Sn (0.147, 0.147, 0.618)
Sn (0.853, 0.853, 0.382)
As (0.101, 0.101, 0.323)
As (0.211, 0.428, 0.791)
As (0.428, 0.211, 0.791)
As (0.572, 0.789, 0.209)
As (0.789, 0.572, 0.209)
As (0.899, 0.899, 0.677)

Results
Density of states at the Fermi level   0.45 states/eV/f.u.
ΔH_f (0 K)   -2.2 eV/f.u.
DFT total energy   -46.1 eV/cell

Entry 2:
# RbSnAs2

A relaxed structure of RbSnAs2 (PBE-GGA, the Alexandria database).

a b c (Å): 7.018 7.018 7.018
angles (deg): 109.52 109.52 109.38
Fractional positions:
Rb (0.000, 0.000, 0.000)
Rb (0.750, 0.250, 0.500)
Sn (0.250, 0.750, 0.500)
Sn (0.500, 0.500, 0.000)
As (0.203, 0.625, 0.078)
As (0.375, 0.453, 0.578)
As (0.547, 0.125, 0.922)
As (0.875, 0.797, 0.422)

Results
Density of states at the Fermi level   2.75 states/eV/f.u.
ΔH_f (0 K)   -0.4 eV/f.u.
DFT total energy   -29.3 eV/cell

Entry 3:
# RbSnAs2

A relaxed structure of RbSnAs2 (PBE-GGA, the Alexandria database).

a b c (Å): 7.071 12.489 6.217
angles (deg): 90.00 90.00 90.00
Fractional positions:
Rb (0.107, 0.135, 0.000)
Rb (0.393, 0.635, 0.500)
Rb (0.607, 0.365, 0.000)
Rb (0.893, 0.865, 0.500)
Sn (0.070, 0.633, 0.024)
Sn (0.430, 0.133, 0.524)
Sn (0.570, 0.867, 0.024)
Sn (0.930, 0.367, 0.524)
As (0.128, 0.407, 0.160)
As (0.190, 0.856, 0.983)
As (0.310, 0.356, 0.483)
As (0.372, 0.907, 0.660)
As (0.628, 0.093, 0.160)
As (0.690, 0.644, 0.983)
As (0.810, 0.144, 0.483)
As (0.872, 0.593, 0.660)

Results
Density of states at the Fermi level   1.03 states/eV/f.u.
ΔH_f (0 K)   -0.8 eV/f.u.
DFT total energy   -60.4 eV/cell

Entry 4:
# Rb3Sn4As

A relaxed structure of Rb3Sn4As (PBE-GGA, the Alexandria database).

a b c (Å): 7.136 13.282 6.566
angles (deg): 90.00 90.00 90.00
Fractional positions:
Rb (0.250, 0.003, 0.179)
Rb (0.250, 0.250, 0.575)
Rb (0.250, 0.497, 0.179)
Rb (0.750, 0.503, 0.821)
Rb (0.750, 0.750, 0.425)
Rb (0.750, 0.997, 0.821)
Sn (0.030, 0.750, 0.943)
Sn (0.250, 0.612, 0.671)
Sn (0.250, 0.888, 0.671)
Sn (0.470, 0.750, 0.943)
Sn (0.530, 0.250, 0.057)
Sn (0.750, 0.112, 0.329)
Sn (0.750, 0.388, 0.329)
Sn (0.970, 0.250, 0.057)
As (0.250, 0.750, 0.342)
As (0.750, 0.250, 0.658)

Results
Density of states at the Fermi level   0.88 states/eV/f.u.
ΔH_f (0 K)   -1.8 eV/f.u.
DFT total energy   -50.8 eV/cell